[1]
DFT (PBE) results for an optimized crystal structure of CsHf2HW.

Cell: 5.0372 5.0372 3.6488 Å, 90.00 90.00 90.00°
Closest atoms and distances in Å follow each position.
Positions (direct):
Cs 0.0000 0.0000 0.0000  8 Hf 3.11
Hf 0.0000 0.5000 0.5000  2 H 2.52
Hf 0.5000 0.0000 0.5000  2 H 2.52
H 0.5000 0.5000 0.5000  2 W 1.82
W 0.5000 0.5000 0.0000  2 H 1.82

Summary:
Electronic total energy: -6.29 eV/atom
Total magnetic moment: 0.0 μB per formula unit
Theoretical density: 12102 kg/m³

---

[2]
DFT (PBE) results for an optimized crystal structure of Rb2Li2PmBr6.

Cell: 7.5607 7.5607 9.0289 Å, 112.27 112.27 60.71°
Closest atoms and distances in Å follow each position.
Positions (direct):
Rb 0.1993 0.1993 0.1721  7 Br 3.51-3.88
Rb 0.8007 0.8007 0.8279  7 Br 3.51-3.88
Li 0.4488 0.4488 0.6711  3 Br 2.44-2.48
Li 0.5512 0.5512 0.3289  3 Br 2.44-2.48
Pm 0.0000 0.0000 0.5000  6 Br 2.88-3.02
Br 0.1787 0.7121 0.2042  1 Li 2.44
Br 0.2398 0.2398 0.5826  1 Li 2.48
Br 0.2879 0.8213 0.7958  1 Li 2.44
Br 0.7121 0.1787 0.2042  1 Li 2.44
Br 0.7602 0.7602 0.4174  1 Li 2.48
Br 0.8213 0.2879 0.7958  1 Li 2.44

Summary:
Electronic total energy: -3.42 eV/atom
Total magnetic moment: 0.9 μB per formula unit
Theoretical density: 3323 kg/m³
Uncorrected formation energy: -1.56 eV per atom

---

[3]
DFT (PBE) results for an optimized crystal structure of La2MnAlGe6.

Cell: 12.4330 12.4330 12.4330 Å, 29.55 29.55 29.55°
Closest atoms and distances in Å follow each position.
Positions (direct):
La 0.1110 0.1110 0.1110  12 Ge 3.30-3.46
La 0.2882 0.2882 0.2882  12 Ge 3.19-3.51
La 0.7118 0.7118 0.7118  12 Ge 3.19-3.51
La 0.8890 0.8890 0.8890  12 Ge 3.30-3.46
Mn 0.0000 0.0000 0.0000  6 Ge 2.48
Mn 0.5000 0.5000 0.5000  6 Ge 2.47, 2 Al 2.54
Al 0.4287 0.4287 0.4287  1 Mn 2.54, 6 Ge 2.57-2.60
Al 0.5713 0.5713 0.5713  1 Mn 2.54, 6 Ge 2.57-2.60
Ge 0.0694 0.6671 0.6671  1 Mn 2.47, 2 Ge 2.55, 1 Al 2.60
Ge 0.2267 0.2267 0.6626  1 Mn 2.48, 1 Al 2.57, 2 Ge 2.76
Ge 0.2267 0.6626 0.2267  1 Mn 2.48, 1 Al 2.57, 2 Ge 2.76
Ge 0.3329 0.3329 0.9306  1 Mn 2.47, 2 Ge 2.55, 1 Al 2.60
Ge 0.3329 0.9306 0.3329  1 Mn 2.47, 2 Ge 2.55, 1 Al 2.60
Ge 0.3374 0.7733 0.7733  1 Mn 2.48, 1 Al 2.57, 2 Ge 2.76
Ge 0.6626 0.2267 0.2267  1 Mn 2.48, 1 Al 2.57, 2 Ge 2.76
Ge 0.6671 0.0694 0.6671  1 Mn 2.47, 2 Ge 2.55, 1 Al 2.60
Ge 0.6671 0.6671 0.0694  1 Mn 2.47, 2 Ge 2.55, 1 Al 2.60
Ge 0.7733 0.3374 0.7733  1 Mn 2.48, 1 Al 2.57, 2 Ge 2.76
Ge 0.7733 0.7733 0.3374  1 Mn 2.48, 1 Al 2.57, 2 Ge 2.76
Ge 0.9306 0.3329 0.3329  1 Mn 2.47, 2 Ge 2.55, 1 Al 2.60

Summary:
Electronic total energy: -5.40 eV/atom
Total magnetic moment: 1.8 μB per formula unit
ΔE_f: -348 meV per atom
Theoretical density: 6387 kg/m³

---

[4]
DFT (PBE) results for an optimized crystal structure of TaIn2TeO.

Cell: 4.7307 4.7307 4.5040 Å, 90.00 90.00 90.00°
Closest atoms and distances in Å follow each position.
Positions (direct):
Ta 0.0000 0.0000 0.0000  8 In 3.27, 4 Te 3.35
In 0.0000 0.5000 0.5000  2 O 2.37
In 0.5000 0.0000 0.5000  2 O 2.37
Te 0.5000 0.5000 0.0000  2 O 2.25
O 0.5000 0.5000 0.5000  2 Te 2.25, 4 In 2.37

Summary:
Electronic total energy: -4.78 eV/atom
Total magnetic moment: 0.0 μB per formula unit
Theoretical density: 9130 kg/m³
Uncorrected formation energy: 0.30 eV per atom

---

[5]
DFT (PBE) results for an optimized crystal structure of ErAlSn2.

Cell: 4.3776 4.3776 9.7727 Å, 90.00 90.00 90.00°
Closest atoms and distances in Å follow each position.
Positions (direct):
Er 0.2500 0.2500 0.2485  8 Sn 3.13-3.27, 4 Al 3.29
Er 0.7500 0.7500 0.7515  8 Sn 3.13-3.27, 4 Al 3.29
Al 0.2500 0.7500 0.5000  4 Sn 2.96, 4 Al 3.10, 4 Er 3.29
Al 0.7500 0.2500 0.5000  4 Sn 2.96, 4 Al 3.10, 4 Er 3.29
Sn 0.2500 0.2500 0.7041  4 Al 2.96, 4 Er 3.13
Sn 0.2500 0.7500 0.0000  4 Sn 3.10, 4 Er 3.27
Sn 0.7500 0.2500 0.0000  4 Sn 3.10, 4 Er 3.27
Sn 0.7500 0.7500 0.2959  4 Al 2.96, 4 Er 3.13

Summary:
Electronic total energy: -4.46 eV/atom
Total magnetic moment: 0.0 μB per formula unit
ΔE_f: -385 meV per atom
Theoretical density: 7655 kg/m³

---

[6]
DFT (PBE) results for an optimized crystal structure of KYAs2.

Cell: 4.6481 4.6481 22.9932 Å, 90.00 90.00 120.00°
Closest atoms and distances in Å follow each position.
Positions (direct):
K 0.0000 0.0000 0.0000  6 As 3.62-3.67, 1 Y 3.84
K 0.3333 0.6667 0.6667  6 As 3.62-3.67, 1 Y 3.84
K 0.6667 0.3333 0.3333  6 As 3.62-3.67, 1 Y 3.84
Y 0.0000 0.0000 0.8331  6 As 3.00-3.03
Y 0.3333 0.6667 0.4997  6 As 3.00-3.03
Y 0.6667 0.3333 0.1664  6 As 3.00-3.03
As 0.0000 0.0000 0.2243  3 As 2.68, 3 Y 3.00
As 0.0000 0.0000 0.5610  3 As 2.68
As 0.3333 0.6667 0.2276  3 As 2.68
As 0.3333 0.6667 0.8909  3 As 2.68, 3 Y 3.00
As 0.6667 0.3333 0.5576  3 As 2.68, 3 Y 3.00
As 0.6667 0.3333 0.8943  3 As 2.68

Summary:
Electronic total energy: -4.49 eV/atom
Total magnetic moment: 0.0 μB per formula unit
ΔE_f: -270 meV per atom
Energy relative to the lowest polymorph listed for this composition: 0.543 eV/atom
Theoretical density: 3217 kg/m³

---

[7]
DFT (PBE) results for an optimized crystal structure of Th3GaRu.

Cell: 9.4999 6.7707 9.6547 Å, 90.00 114.29 90.00°
Closest atoms and distances in Å follow each position.
Positions (direct):
Th 0.0995 0.0695 0.3644  3 Ru 2.68-2.81
Th 0.0995 0.4305 0.8644  3 Ru 2.68-2.81
Th 0.2124 0.5878 0.5614  2 Ru 2.79-2.98
Th 0.2124 0.9122 0.0614  2 Ru 2.79-2.98
Th 0.3991 0.0659 0.7686  1 Ru 2.88, 3 Ga 3.15-3.19
Th 0.3991 0.4341 0.2686  1 Ru 2.88, 3 Ga 3.15-3.19
Th 0.6009 0.5659 0.7314  1 Ru 2.88, 3 Ga 3.15-3.19
Th 0.6009 0.9341 0.2314  1 Ru 2.88, 3 Ga 3.15-3.19
Th 0.7876 0.0878 0.9386  2 Ru 2.79-2.98
Th 0.7876 0.4122 0.4386  2 Ru 2.79-2.98
Th 0.9005 0.5695 0.1356  3 Ru 2.68-2.81
Th 0.9005 0.9305 0.6356  3 Ru 2.68-2.81
Ga 0.4237 0.6635 0.9408  1 Ga 2.64
Ga 0.4237 0.8365 0.4408  1 Ga 2.64
Ga 0.5763 0.1635 0.5592  1 Ga 2.64
Ga 0.5763 0.3365 0.0592  1 Ga 2.64
Ru 0.0955 0.2353 0.6213  6 Th 2.68-2.98
Ru 0.0955 0.2647 0.1213  6 Th 2.68-2.98
Ru 0.9045 0.7353 0.8787  6 Th 2.68-2.98
Ru 0.9045 0.7647 0.3787  6 Th 2.68-2.98

Summary:
Electronic total energy: -7.21 eV/atom
Total magnetic moment: 0.0 μB per formula unit
ΔE_f: -298 meV per atom
Theoretical density: 10173 kg/m³

---

[8]
DFT (PBE) results for an optimized crystal structure of Ni2HgAs.

Cell: 2.9427 3.5522 12.3334 Å, 90.00 90.00 90.00°
Closest atoms and distances in Å follow each position.
Positions (direct):
Ni 0.0000 0.0000 0.0000  2 As 2.34
Ni 0.0000 0.5000 0.3224  4 As 2.40, 2 Ni 2.64
Ni 0.5000 0.0000 0.8224  4 As 2.40, 2 Ni 2.64
Ni 0.5000 0.5000 0.5000  2 As 2.34
Hg 0.0000 0.0000 0.6317  6 Ni 2.77-2.82, 2 Hg 2.94
Hg 0.5000 0.5000 0.1317  6 Ni 2.77-2.82, 2 Hg 2.94
As 0.0000 0.5000 0.8766  6 Ni 2.34-2.40
As 0.5000 0.0000 0.3766  6 Ni 2.34-2.40

Summary:
Electronic total energy: -4.09 eV/atom
Total magnetic moment: 0.0 μB per formula unit
ΔE_f: 35 meV per atom
Theoretical density: 10121 kg/m³

---

[9]
DFT (PBE) results for an optimized crystal structure of Mg2ScW.

Cell: 3.0777 4.8880 5.1800 Å, 90.00 90.00 90.00°
Closest atoms and distances in Å follow each position.
Positions (direct):
Mg 0.0000 0.0000 0.0000  6 Mg 2.89-3.08, 4 W 3.01
Mg 0.5000 0.5000 0.0000  6 Mg 2.89-3.08, 4 Sc 3.01
Sc 0.0000 0.5000 0.5000  4 W 2.89, 4 Mg 3.01, 2 Sc 3.08
W 0.5000 0.0000 0.5000  4 Sc 2.89, 4 Mg 3.01, 2 W 3.08

Summary:
Electronic total energy: -5.23 eV/atom
Total magnetic moment: 0.0 μB per formula unit
ΔE_f: 388 meV per atom
Energy relative to the lowest polymorph listed for this composition: 0.199 eV/atom
Theoretical density: 5911 kg/m³

---

[10]
DFT (PBE) results for an optimized crystal structure of MgSn2Pb2.

Cell: 7.6557 7.6557 5.0449 Å, 90.00 90.00 90.00°
Closest atoms and distances in Å follow each position.
Positions (direct):
Mg 0.0000 0.0000 0.0000  4 Sn 2.98
Mg 0.5000 0.5000 0.0000  4 Sn 2.98
Sn 0.1346 0.3654 0.0000  1 Sn 2.91, 2 Mg 2.98, 2 Pb 3.23
Sn 0.3654 0.8654 0.0000  1 Sn 2.91, 2 Mg 2.98, 2 Pb 3.23
Sn 0.6346 0.1346 0.0000  1 Sn 2.91, 2 Mg 2.98, 2 Pb 3.23
Sn 0.8654 0.6346 0.0000  1 Sn 2.91, 2 Mg 2.98, 2 Pb 3.23
Pb 0.1784 0.6784 0.5000  6 Sn 3.23-3.50
Pb 0.3216 0.1784 0.5000  6 Sn 3.23-3.50
Pb 0.6784 0.8216 0.5000  6 Sn 3.23-3.50
Pb 0.8216 0.3216 0.5000  6 Sn 3.23-3.50

Summary:
Electronic total energy: -3.37 eV/atom
Total magnetic moment: 0.0 μB per formula unit
ΔE_f: 29 meV per atom
Energy relative to the lowest polymorph listed for this composition: 0.054 eV/atom
Theoretical density: 7594 kg/m³